Material: LiP2NO
Method: DFT, PBE-GGA
State: optimized geometry Values from VASP.

## Properties
**Energy**: -4.4590 eV per atom
**Total magnetization**: 0.0 Bohr magnetons per cell
**Volume**: 12.867 Å³/atom
**Crystal system**: tetragonal

```
&SYSTEM
  ibrav = 0, nat = 5, ntyp = 4
/
ATOMIC_SPECIES
P 30.97 P.upf
Li 6.94 Li.upf
O 16.00 O.upf
N 14.01 N.upf
CELL_PARAMETERS angstrom
3.791 0.000 0.000
0.000 4.476 0.000
0.000 0.000 3.791
ATOMIC_POSITIONS angstrom
P 0.000 0.000 1.896
P 1.896 0.000 0.000
Li 1.896 2.238 1.896
O 0.000 2.238 0.000
N 0.000 0.000 0.000
```